Entry 1:
Pr5Sm8Th: optimized geometry, PBE-GGA.

Computed properties:
Energy relative to the elements: 0.267 eV per atom

Cell: 8.637 8.637 8.637 Å, 110.44 107.55 110.44°
Sites, in units of the cell vectors:
Pr1 0.026 0.321 0.128
Pr2 0.872 0.898 0.193
Pr3 0.807 0.679 0.705
Pr4 0.500 0.000 0.500
Pr5 0.295 0.102 0.974
Sm1 0.160 0.730 0.067
Sm2 0.933 0.094 0.664
Sm3 0.741 0.261 0.343
Sm4 0.657 0.398 0.918
Sm5 0.520 0.602 0.259
Sm6 0.570 0.906 0.840
Sm7 0.336 0.270 0.430
Sm8 0.082 0.739 0.480
Th1 0.250 0.500 0.750

Entry 2:
PrSmTh: optimized geometry, PBE-GGA.

Computed properties:
Energy relative to the elements: 0.032 eV per atom
Distance to the lowest polymorph of the same formula: 9 meV/atom

Cell: 3.629 3.629 8.956 Å, 90.00 90.00 120.00°
Sites, in units of the cell vectors:
Pr1 0.000 0.000 0.989
Sm1 0.667 0.333 0.347
Th1 0.333 0.667 0.664

Entry 3:
Pr2Sm5Th2: optimized geometry, PBE-GGA.

Computed properties:
Energy relative to the elements: 0.250 eV per atom

Cell: 3.518 8.075 13.179 Å, 118.82 97.67 90.00°
Sites, in units of the cell vectors:
Pr1 0.824 0.792 0.647
Pr2 0.176 0.208 0.353
Sm1 0.692 0.836 0.384
Sm2 0.308 0.164 0.616
Sm3 0.911 0.551 0.821
Sm4 0.089 0.449 0.179
Sm5 0.000 0.000 0.000
Th1 0.552 0.747 0.105
Th2 0.448 0.253 0.895

Q: Which density of states at the Fermi level values were calculated for the entries above? A: 1.653; 1.577; 1.434, in states/eV per atom.